A plane-wave DFT calculation with PBE was carried out for a relaxed structure of MoS2N2. Values from VASP.

Computed properties:
As for the total energy: -5.594 eV per atom. The value obtained for the density of states at the Fermi level is 3.2 states/eV per cell. Its space group is P4/mmm (123). For the size of the total moment, the calculation gives 1.8 μB/cell. As for the energy relative to the lowest polymorph listed for this composition: 1885.0 meV per atom. As for the uncorrected formation energy: 7.76 eV/f.u.

```
&SYSTEM
  ibrav = 0, nat = 5, ntyp = 3
/
ATOMIC_SPECIES
Mo 95.94 Mo.upf
S 32.06 S.upf
N 14.01 N.upf
CELL_PARAMETERS angstrom
3.630 0.000 0.000
0.000 3.630 0.000
0.000 0.000 4.386
ATOMIC_POSITIONS crystal
Mo 0.000 0.000 0.000
S 0.500 0.500 0.000
S 0.500 0.500 0.500
N 0.000 0.500 0.500
N 0.500 0.000 0.500
```